# 1
The following is a PBE-GGA calculation of a relaxed structure of Tb2ThTl, from Alexandria via LeMat-Bulk.

Cell: 3.592 3.592 11.041 Å, 80.64 80.64 60.00°
Atoms (fractional coordinates):
Tl: 0.000 0.000 0.000
Tb: 0.747 0.747 0.758
Tb: 0.253 0.253 0.242
Th: 0.500 0.500 0.500

Summary:
Mass density (g/cm3): 10.336
Uncorrected energy (eV per cell): -19.62
Spin magnetization (Bohr magnetons per cell): 0.000
Symmetry: R-3m (166)

---

# 2
The following is a PBE-GGA calculation of a relaxed structure of Tb12ThTl3, from Alexandria via LeMat-Bulk.

Cell: 4.892 4.892 19.809 Å, 90.00 90.00 90.00°
Atoms (fractional coordinates):
Tl: 0.000 0.000 0.745
Tl: 0.000 0.000 0.255
Tl: 0.000 0.000 0.500
Tb: 0.500 0.000 0.376
Tb: 0.000 0.500 0.872
Tb: 0.500 0.000 0.624
Tb: 0.000 0.500 0.128
Tb: 0.500 0.000 0.872
Tb: 0.500 0.500 0.000
Tb: 0.500 0.500 0.254
Tb: 0.500 0.500 0.746
Tb: 0.500 0.000 0.128
Tb: 0.000 0.500 0.376
Tb: 0.000 0.500 0.624
Tb: 0.500 0.500 0.500
Th: 0.000 0.000 0.000

Summary:
Mass density (g/cm3): 9.640
Uncorrected energy (eV per cell): -72.04
Spin magnetization (Bohr magnetons per cell): 0.000
Symmetry: P4/mmm (123)

---

What is the mass density in the first record?
10.336 g/cm3